Record 1
Below is Cd3BO after structural relaxation, with properties calculated at the GGA-PBEsol level.

* N(E_F): 3.7 states/eV/f.u.
* energy relative to the elements, uncorrected: 0.44 eV/atom
* space-group type: Pm-3m, No. 221
* crystal system: cubic

Cell: 4.434 4.434 4.434 Å, 90.00 90.00 90.00°
Last column: magnetic moment on the atom in μB.
Fractional coordinates of all 5 atoms:
B 0.000 0.000 0.000  0.10
O 0.500 0.500 0.500  0.63
Cd 0.000 0.000 0.500  0.03
Cd 0.500 0.000 0.000  0.03
Cd 0.000 0.500 0.000  0.03

=====

Record 2
Below is LiBe after structural relaxation, with properties calculated at the GGA-PBEsol level.

* N(E_F): 0.6 states/eV/f.u.
* E above lowest polymorph: 0.000 eV per atom
* space-group type: Cm, No. 8
* crystal system: monoclinic

Cell: 2.304 5.070 5.928 Å, 102.44 90.00 103.14°
Fractional coordinates of all 6 atoms:
Li 0.731 0.462 0.956
Be 0.406 0.813 0.280
Li 0.665 0.330 0.318
Li 0.056 0.112 0.634
Be 0.969 0.938 0.984
Be 0.340 0.680 0.661

=====

Record 3
Below is CdHgS2 after structural relaxation, with properties calculated at the GGA-PBEsol level.

* energy relative to the elements, uncorrected: -0.28 eV/atom
* E above lowest polymorph: 0.106 eV per atom
* space-group type: R-3m, No. 166
* crystal system: trigonal

Cell: 4.079 4.079 7.570 Å, 74.37 74.37 60.00°
Fractional coordinates of all 4 atoms:
Hg 0.000 0.000 0.000
S 0.107 0.107 0.678
S 0.893 0.893 0.322
Cd 0.500 0.500 0.500

=====

Record 4
Below is Mn3InC after structural relaxation, with properties calculated at the GGA-PBEsol level.

* N(E_F): 4.5 states/eV/f.u.
* space-group type: Pm-3m, No. 221
* crystal system: cubic

Cell: 3.861 3.861 3.861 Å, 90.00 90.00 90.00°
Last column: magnetic moment on the atom in μB.
Fractional coordinates of all 5 atoms:
C 0.000 0.000 0.000  -0.11
Mn 0.000 0.500 0.000  1.49
Mn 0.000 0.000 0.500  1.49
Mn 0.500 0.000 0.000  1.49
In 0.500 0.500 0.500  -0.08

=====

What calculated total energy values result from the calculations? In sequence: -13.6 -16.5 -11.7 -41.9 eV for the cell shown.